# AcSbHPt PBE optimized geometry
# **Spin magnetization**: 0.0 μB per formula unit
# **Distance to the lowest polymorph of the same formula**: 9.45 kcal/mol of atoms
# **Fermi-level density of states**: 8.8 states/eV/cell
data_AcSbHPt
_cell_length_a 6.9898
_cell_length_b 6.9898
_cell_length_c 6.9898
_cell_angle_alpha 90.00
_cell_angle_beta 90.00
_cell_angle_gamma 90.00
_space_group_name_H-M_alt 'F -4 3 m'
_space_group_IT_number 216
_space_group_name_Hall 'F -4 2 3'
loop_
_atom_site_label
_atom_site_type_symbol
_atom_site_fract_x
_atom_site_fract_y
_atom_site_fract_z
_atom_site_occupancy
Ac1 Ac 0.0000 0.0000 0.0000 1
Sb1 Sb 0.0000 0.0000 0.5000 1
H1 H 0.2500 0.2500 0.7500 1
Pt1 Pt 0.2500 0.2500 0.2500 1